[1]
# LaTb6Pr2 (PBE, relaxed)
data_LaTb6Pr2
_chemical_formula_sum 'La2 Tb12 Pr4'
_cell_length_a 3.521
_cell_length_b 10.452
_cell_length_c 16.501
_cell_angle_alpha 90.00
_cell_angle_beta 90.00
_cell_angle_gamma 90.00
_space_group_name_H-M_alt 'I m m m'
_space_group_IT_number 71
_space_group_name_Hall '-I 2 2'
loop_
_atom_site_label
_atom_site_fract_x
_atom_site_fract_y
_atom_site_fract_z
La1 0.000 0.000 0.000
Tb1 0.000 0.167 0.178
Tb2 0.000 0.184 0.500
Pr1 0.000 0.500 0.158
# Distance to the lowest polymorph of the same formula in kJ/mol of formula units: 0
# Magnetic moment in Bohr magnetons per cell: 0.0
# Total energy in eV per formula unit: -41.37

***

[2]
# LaTbPr (PBE, relaxed)
data_LaTbPr
_chemical_formula_sum 'La4 Tb4 Pr4'
_cell_length_a 5.820
_cell_length_b 7.177
_cell_length_c 10.074
_cell_angle_alpha 90.00
_cell_angle_beta 90.00
_cell_angle_gamma 90.00
_space_group_name_H-M_alt 'I m m m'
_space_group_IT_number 71
_space_group_name_Hall '-I 2 2'
loop_
_atom_site_label
_atom_site_fract_x
_atom_site_fract_y
_atom_site_fract_z
La1 0.000 0.245 0.000
Tb1 0.000 0.500 0.335
Pr1 0.000 0.000 0.334
# Distance to the lowest polymorph of the same formula in kJ/mol of formula units: 9
# Magnetic moment in Bohr magnetons per cell: 0.0
# Total energy in eV per formula unit: -14.19

***

[3]
# La3Tb5Pr (PBE, relaxed)
data_La3Tb5Pr
_chemical_formula_sum 'La12 Tb20 Pr4'
_cell_length_a 12.505
_cell_length_b 8.337
_cell_length_c 12.770
_cell_angle_alpha 90.00
_cell_angle_beta 99.56
_cell_angle_gamma 90.00
_space_group_name_H-M_alt 'C 1 2/m 1'
_space_group_IT_number 12
loop_
_space_group_symop_operation_xyz
'x,y,z'
'-x,-y,-z'
'-x,y,-z'
'x,-y,z'
'x+1/2,y+1/2,z'
'-x+1/2,-y+1/2,-z'
'-x+1/2,y+1/2,-z'
'x+1/2,-y+1/2,z'
loop_
_atom_site_label
_atom_site_fract_x
_atom_site_fract_y
_atom_site_fract_z
La1 0.000 0.000 0.000
La2 0.000 0.000 0.500
La3 0.120 0.500 0.213
La4 0.231 0.500 0.466
Tb1 0.000 0.320 0.000
Tb2 0.052 0.500 0.626
Tb3 0.133 0.196 0.779
Tb4 0.242 0.500 0.977
Pr1 0.139 0.000 0.264
# Magnetic moment in Bohr magnetons per cell: 0.0
# Total energy in eV per formula unit: -39.07